VClF3 | GGA+U | optimized geometry

Summary:
VASP energy, eV per atom: -4.713

The structure in POSCAR format:
```
VClF3
1.0
-0.267 3.840 -1.243
-2.939 -1.039 -2.578
-2.767 0.733 2.859
F V Cl
3 1 1
Direct
0.000 0.500 0.000
0.000 0.000 0.500
0.500 0.000 0.000
0.000 0.000 0.000
0.500 0.500 0.500
```